(1)
Material: NaAlSi2H2O7
Method: DFT, PBE
State: optimized geometry

DFT total energy: -6.773 eV/atom

Geometry as CIF:
```
data_NaAlSi2H2O7
_chemical_formula_sum 'Na16 Al16 Si32 H32 O112'
_cell_length_a 19.603
_cell_length_b 13.947
_cell_length_c 13.763
_cell_angle_alpha 90.00
_cell_angle_beta 134.34
_cell_angle_gamma 90.00
_symmetry_space_group_name_H-M 'C 1 2/c 1'
_symmetry_Int_Tables_number 15
_symmetry_space_group_name_Hall '-C 2yc'
loop_
_atom_site_label
_atom_site_type_symbol
_atom_site_fract_x
_atom_site_fract_y
_atom_site_fract_z
_atom_site_occupancy
Na1 Na 0.000 0.099 0.250 1
Na2 Na 0.000 0.374 0.750 1
Na3 Na 0.158 0.272 0.686 1
Al1 Al 0.121 0.412 0.461 1
Al2 Al 0.127 0.089 0.790 1
Si1 Si 0.077 0.165 0.957 1
Si2 Si 0.089 0.334 0.215 1
Si3 Si 0.156 0.371 0.065 1
Si4 Si 0.164 0.129 0.257 1
H1 H 0.050 0.438 0.634 1
H2 H 0.066 0.126 0.517 1
H3 H 0.066 0.217 0.451 1
H4 H 0.139 0.468 0.781 1
O1 O 0.027 0.341 0.417 1
O2 O 0.037 0.152 0.634 1
O3 O 0.093 0.151 0.484 1
O4 O 0.094 0.282 0.954 1
O5 O 0.104 0.466 0.971 1
O6 O 0.106 0.411 0.723 1
O7 O 0.111 0.105 0.899 1
O8 O 0.113 0.221 0.262 1
O9 O 0.118 0.034 0.258 1
O10 O 0.123 0.404 0.336 1
O11 O 0.141 0.138 0.117 1
O12 O 0.145 0.366 0.173 1
O13 O 0.221 0.365 0.620 1
O14 O 0.232 0.141 0.850 1
```


(2)
Material: Li2LaSiIr
Method: DFT, PBE
State: optimized geometry

DFT total energy: -4.944 eV/atom

Geometry as CIF:
```
data_Li2LaSiIr
_chemical_formula_sum 'Li2 La1 Si1 Ir1'
_cell_length_a 4.696
_cell_length_b 4.696
_cell_length_c 4.558
_cell_angle_alpha 90.00
_cell_angle_beta 90.00
_cell_angle_gamma 90.00
_symmetry_space_group_name_H-M 'P 4/m m m'
_symmetry_Int_Tables_number 123
_symmetry_space_group_name_Hall '-P 4 2'
loop_
_atom_site_label
_atom_site_type_symbol
_atom_site_fract_x
_atom_site_fract_y
_atom_site_fract_z
_atom_site_occupancy
Li1 Li 0.000 0.500 0.000 1
La1 La 0.000 0.000 0.500 1
Si1 Si 0.500 0.500 0.500 1
Ir1 Ir 0.500 0.500 0.000 1
```


(3)
Material: ZnInNiAu
Method: DFT, PBE
State: optimized geometry

DFT formation energy: -0.075 eV per atom

Geometry as CIF:
```
data_ZnInNiAu
_chemical_formula_sum 'Zn4 In4 Ni4 Au4'
_cell_length_a 6.386
_cell_length_b 6.386
_cell_length_c 6.386
_cell_angle_alpha 90.00
_cell_angle_beta 90.00
_cell_angle_gamma 90.00
_symmetry_space_group_name_H-M 'F -4 3 m'
_symmetry_Int_Tables_number 216
_symmetry_space_group_name_Hall 'F -4 2 3'
loop_
_atom_site_label
_atom_site_type_symbol
_atom_site_fract_x
_atom_site_fract_y
_atom_site_fract_z
_atom_site_occupancy
Zn1 Zn 0.000 0.000 0.000 1
In1 In 0.000 0.000 0.500 1
Ni1 Ni 0.250 0.250 0.750 1
Au1 Au 0.250 0.250 0.250 1
```


(4)
Material: Tb2DyHo6Sc3
Method: DFT, PBE
State: optimized geometry

DFT formation energy: 0.043 eV per atom

Geometry as CIF:
```
data_Tb2DyHo6Sc3
_chemical_formula_sum 'Tb4 Dy2 Ho12 Sc6'
_cell_length_a 6.026
_cell_length_b 10.429
_cell_length_c 11.433
_cell_angle_alpha 90.00
_cell_angle_beta 100.10
_cell_angle_gamma 90.00
_symmetry_space_group_name_H-M 'C 1 2/m 1'
_symmetry_Int_Tables_number 12
_symmetry_space_group_name_Hall '-C 2y'
loop_
_atom_site_label
_atom_site_type_symbol
_atom_site_fract_x
_atom_site_fract_y
_atom_site_fract_z
_atom_site_occupancy
Tb1 Tb 0.000 0.167 0.000 1
Dy1 Dy 0.000 0.500 0.000 1
Ho1 Ho 0.247 0.167 0.741 1
Ho2 Ho 0.247 0.500 0.741 1
Sc1 Sc 0.000 0.000 0.500 1
Sc2 Sc 0.000 0.333 0.500 1
```


(5)
Material: Er2Zn5Cu5
Method: DFT, PBE
State: optimized geometry

DFT formation energy: -0.285 eV per atom

Geometry as CIF:
```
data_Er2Zn5Cu5
_chemical_formula_sum 'Er2 Zn5 Cu5'
_cell_length_a 4.177
_cell_length_b 5.123
_cell_length_c 8.850
_cell_angle_alpha 90.00
_cell_angle_beta 90.00
_cell_angle_gamma 90.00
_symmetry_space_group_name_H-M 'P m m m'
_symmetry_Int_Tables_number 47
_symmetry_space_group_name_Hall '-P 2 2'
loop_
_atom_site_label
_atom_site_type_symbol
_atom_site_fract_x
_atom_site_fract_y
_atom_site_fract_z
_atom_site_occupancy
Er1 Er 0.000 0.000 0.000 1
Er2 Er 0.000 0.500 0.500 1
Zn1 Zn 0.500 0.000 0.500 1
Zn2 Zn 0.500 0.251 0.245 1
Cu1 Cu 0.000 0.000 0.335 1
Cu2 Cu 0.000 0.500 0.164 1
Cu3 Cu 0.500 0.500 0.000 1
```


(6)
Material: LiBeZnIr
Method: DFT, PBE
State: optimized geometry

DFT formation energy: -0.276 eV per atom

Geometry as CIF:
```
data_LiBeZnIr
_chemical_formula_sum 'Li4 Be4 Zn4 Ir4'
_cell_length_a 5.819
_cell_length_b 5.819
_cell_length_c 5.819
_cell_angle_alpha 90.00
_cell_angle_beta 90.00
_cell_angle_gamma 90.00
_symmetry_space_group_name_H-M 'F -4 3 m'
_symmetry_Int_Tables_number 216
_symmetry_space_group_name_Hall 'F -4 2 3'
loop_
_atom_site_label
_atom_site_type_symbol
_atom_site_fract_x
_atom_site_fract_y
_atom_site_fract_z
_atom_site_occupancy
Li1 Li 0.000 0.000 0.000 1
Be1 Be 0.250 0.250 0.750 1
Zn1 Zn 0.250 0.250 0.250 1
Ir1 Ir 0.000 0.000 0.500 1
```


Q: Which size of the total moment values were calculated for the entries above? A: 0.0 0.0 0.0 0.0 0.0 0.0, in μB/f.u..